# 1
Below is a relaxed structure of CrBiF2, with properties calculated at the PBE with a Hubbard U level.

Energy in eV per atom: -5.0945
Energy above the most stable polymorph in this dataset in meV/atom: 247

Structure (CIF):
```
data_CrBiF2
_chemical_formula_sum 'Cr4 Bi4 F8'
_cell_length_a 6.0007
_cell_length_b 6.0007
_cell_length_c 9.8839
_cell_angle_alpha 90.00
_cell_angle_beta 90.00
_cell_angle_gamma 90.00
_symmetry_space_group_name_H-M 'I -4 2 d'
_symmetry_Int_Tables_number 122
_symmetry_space_group_name_Hall 'I -4 2bw'
loop_
_atom_site_label
_atom_site_type_symbol
_atom_site_fract_x
_atom_site_fract_y
_atom_site_fract_z
Cr1 Cr 0.0000 0.0000 0.0000
Bi1 Bi 0.0000 0.0000 0.5000
F1 F 0.0735 0.2500 0.1250
```

---

# 2
Below is a relaxed structure of CrBiF4, with properties calculated at the PBE with a Hubbard U level.

Energy in eV per atom: -5.2940

Structure (CIF):
```
data_CrBiF4
_chemical_formula_sum 'Cr4 Bi4 F16'
_cell_length_a 7.3461
_cell_length_b 7.3461
_cell_length_c 7.4643
_cell_angle_alpha 90.00
_cell_angle_beta 90.00
_cell_angle_gamma 90.00
_symmetry_space_group_name_H-M 'I 41 m d'
_symmetry_Int_Tables_number 109
_symmetry_space_group_name_Hall 'I 4bw -2'
loop_
_atom_site_label
_atom_site_type_symbol
_atom_site_fract_x
_atom_site_fract_y
_atom_site_fract_z
Cr1 Cr 0.0000 0.0000 0.0000
Bi1 Bi 0.0000 0.0000 0.4876
F1 F 0.0000 0.1772 0.2100
F2 F 0.0000 0.1836 0.7902
```

---

# 3
Below is a relaxed structure of CrBiF5, with properties calculated at the PBE with a Hubbard U level.

Energy in eV per atom: -5.4616

Structure (CIF):
```
data_CrBiF5
_chemical_formula_sum 'Cr4 Bi4 F20'
_cell_length_a 9.2587
_cell_length_b 7.3815
_cell_length_c 7.6113
_cell_angle_alpha 90.00
_cell_angle_beta 113.77
_cell_angle_gamma 90.00
_symmetry_space_group_name_H-M 'C 1 2/c 1'
_symmetry_Int_Tables_number 15
_symmetry_space_group_name_Hall '-C 2yc'
loop_
_atom_site_label
_atom_site_type_symbol
_atom_site_fract_x
_atom_site_fract_y
_atom_site_fract_z
Cr1 Cr 0.0000 0.0000 0.0000
Bi1 Bi 0.0000 0.4478 0.2500
F1 F 0.0000 0.1076 0.2500
F2 F 0.0070 0.3238 0.9535
F3 F 0.2359 0.0234 0.6249
```

---

# 4
Below is a relaxed structure of Cr3BiF, with properties calculated at the PBE with a Hubbard U level.

Energy in eV per atom: -5.8760
Energy above the most stable polymorph in this dataset in meV/atom: 0

Structure (CIF):
```
data_Cr3BiF
_chemical_formula_sum 'Cr3 Bi1 F1'
_cell_length_a 4.6413
_cell_length_b 4.6413
_cell_length_c 4.6413
_cell_angle_alpha 90.00
_cell_angle_beta 90.00
_cell_angle_gamma 90.00
_symmetry_space_group_name_H-M 'P m -3 m'
_symmetry_Int_Tables_number 221
_symmetry_space_group_name_Hall '-P 4 2 3'
loop_
_atom_site_label
_atom_site_type_symbol
_atom_site_fract_x
_atom_site_fract_y
_atom_site_fract_z
Cr1 Cr 0.0000 0.0000 0.5000
Bi1 Bi 0.5000 0.5000 0.5000
F1 F 0.0000 0.0000 0.0000
```

---

# 5
Below is a relaxed structure of Cr4BiF12, with properties calculated at the PBE with a Hubbard U level.

Energy in eV per atom: -5.8463

Structure (CIF):
```
data_Cr4BiF12
_chemical_formula_sum 'Cr8 Bi2 F24'
_cell_length_a 11.7243
_cell_length_b 7.7053
_cell_length_c 8.3087
_cell_angle_alpha 90.00
_cell_angle_beta 134.76
_cell_angle_gamma 90.00
_symmetry_space_group_name_H-M 'C 1 2/m 1'
_symmetry_Int_Tables_number 12
_symmetry_space_group_name_Hall '-C 2y'
loop_
_atom_site_label
_atom_site_type_symbol
_atom_site_fract_x
_atom_site_fract_y
_atom_site_fract_z
Cr1 Cr 0.2500 0.2500 0.0000
Cr2 Cr 0.2500 0.2500 0.5000
Bi1 Bi 0.0000 0.0000 0.0000
F1 F 0.0023 0.1897 0.7732
F2 F 0.2104 0.5000 0.9986
F3 F 0.2131 0.5000 0.4231
F4 F 0.2294 0.1891 0.2301
```

---

# 6
Below is a relaxed structure of Cr3BiF, with properties calculated at the PBE with a Hubbard U level.

Energy in eV per atom: -5.1752
Energy above the most stable polymorph in this dataset in meV/atom: 701

Structure (CIF):
```
data_Cr3BiF
_chemical_formula_sum 'Cr3 Bi1 F1'
_cell_length_a 5.4488
_cell_length_b 5.4488
_cell_length_c 5.4488
_cell_angle_alpha 90.00
_cell_angle_beta 90.00
_cell_angle_gamma 90.00
_symmetry_space_group_name_H-M 'P m -3 m'
_symmetry_Int_Tables_number 221
_symmetry_space_group_name_Hall '-P 4 2 3'
loop_
_atom_site_label
_atom_site_type_symbol
_atom_site_fract_x
_atom_site_fract_y
_atom_site_fract_z
Cr1 Cr 0.0000 0.0000 0.5000
Bi1 Bi 0.0000 0.0000 0.0000
F1 F 0.5000 0.5000 0.5000
```

---

# 7
Below is a relaxed structure of CrBiF2, with properties calculated at the PBE with a Hubbard U level.

Energy in eV per atom: -4.1606
Energy above the most stable polymorph in this dataset in meV/atom: 1181

Structure (CIF):
```
data_CrBiF2
_chemical_formula_sum 'Cr4 Bi4 F8'
_cell_length_a 6.4082
_cell_length_b 6.4082
_cell_length_c 6.4082
_cell_angle_alpha 90.00
_cell_angle_beta 90.00
_cell_angle_gamma 90.00
_symmetry_space_group_name_H-M 'F m -3 m'
_symmetry_Int_Tables_number 225
_symmetry_space_group_name_Hall '-F 4 2 3'
loop_
_atom_site_label
_atom_site_type_symbol
_atom_site_fract_x
_atom_site_fract_y
_atom_site_fract_z
Cr1 Cr 0.0000 0.0000 0.0000
Bi1 Bi 0.0000 0.0000 0.5000
F1 F 0.2500 0.2500 0.2500
```

---

# 8
Below is a relaxed structure of CrBiF3, with properties calculated at the PBE with a Hubbard U level.

Energy in eV per atom: -4.8135

Structure (CIF):
```
data_CrBiF3
_chemical_formula_sum 'Cr1 Bi1 F3'
_cell_length_a 4.6692
_cell_length_b 4.6692
_cell_length_c 4.6692
_cell_angle_alpha 90.00
_cell_angle_beta 90.00
_cell_angle_gamma 90.00
_symmetry_space_group_name_H-M 'P m -3 m'
_symmetry_Int_Tables_number 221
_symmetry_space_group_name_Hall '-P 4 2 3'
loop_
_atom_site_label
_atom_site_type_symbol
_atom_site_fract_x
_atom_site_fract_y
_atom_site_fract_z
Cr1 Cr 0.0000 0.0000 0.0000
Bi1 Bi 0.5000 0.5000 0.5000
F1 F 0.0000 0.5000 0.5000
```